DFT (PBE) results for crystalline FeCo2Br at its relaxed geometry.

Cell lengths 2.9786, 4.1969, 8.6008 Å; angles 90.00, 90.00, 90.00 degrees
With the nearest neighbours (Å) after each atom.
Space group Imm2 (No. 44)
Symmetry-distinct sites (fractional):
Fe 0.0000 0.0000 0.0000 x2  6 Co 2.58-2.64, 2 Br 2.61
Co 0.0000 0.0000 0.4889 x2  2 Br 2.54, 4 Fe 2.58, 2 Co 2.67
Co 0.0000 0.5000 0.2470 x2  4 Br 2.57, 2 Fe 2.64, 2 Co 2.67
Br 0.0000 0.5000 0.7498 x2  6 Co 2.54-2.57, 2 Fe 2.61

Summary:
Total DFT energy (no corrections), hartree per atom: -0.19831
Formation energy without anion corrections, meV per atom: 691

=====

DFT (PBE) results for crystalline Fe2CoBr at its relaxed geometry.

Cell lengths 2.9977, 3.2102, 6.6962 Å; angles 90.00, 90.00, 90.00 degrees
With the nearest neighbours (Å) after each atom.
Space group Pmmm (No. 47)
Symmetry-distinct sites (fractional):
Fe 0.0000 0.0000 0.1812 x2  1 Fe 2.43, 4 Co 2.51, 2 Br 2.61
Co 0.5000 0.5000 0.0000 x1  8 Fe 2.51
Br 0.5000 0.0000 0.5000 x1  4 Fe 2.61

Summary:
Total DFT energy (no corrections), hartree per atom: -0.22366
Excess energy over the best structure of this formula in the dataset, meV/atom: 0
Formation energy without anion corrections, meV per atom: 340

=====

DFT (PBE) results for crystalline FeCo2Br at its relaxed geometry.

Cell lengths 3.9841, 3.9841, 6.8266 Å; angles 90.00, 90.00, 90.00 degrees
With the nearest neighbours (Å) after each atom.
Space group I4/mmm (No. 139)
Symmetry-distinct sites (fractional):
Fe 0.0000 0.0000 0.0000 x2  8 Co 2.62, 4 Br 2.82
Co 0.0000 0.5000 0.2500 x4  4 Br 2.62, 4 Fe 2.62, 4 Co 2.82
Br 0.0000 0.0000 0.5000 x2  8 Co 2.62, 4 Fe 2.82

Summary:
Total DFT energy (no corrections), hartree per atom: -0.19581
Formation energy without anion corrections, meV per atom: 759

=====

DFT (PBE) results for crystalline Fe2CoBr at its relaxed geometry.

Cell lengths 7.7476, 2.9840, 6.2839 Å; angles 90.00, 94.33, 90.00 degrees
With the nearest neighbours (Å) after each atom.
Space group Cm (No. 8)
Symmetry-distinct sites (fractional):
Fe 0.0000 0.0000 0.0000 x2  3 Co 2.34-2.39, 3 Fe 2.46-2.50
Fe 0.2277 0.5000 0.1764 x2  3 Fe 2.46-2.50, 2 Co 2.49, 2 Br 2.50
Co 0.2750 0.0000 0.8695 x2  5 Fe 2.34-2.49, 1 Br 2.42
Br 0.3062 0.0000 0.4890 x2  1 Co 2.42, 2 Fe 2.50

Summary:
Total DFT energy (no corrections), hartree per atom: -0.21954
Excess energy over the best structure of this formula in the dataset, meV/atom: 112
Formation energy without anion corrections, meV per atom: 452

=====

DFT (PBE) results for crystalline FeCo2Br at its relaxed geometry.

Cell lengths 2.9511, 2.9511, 22.7271 Å; angles 90.00, 90.00, 120.00 degrees
With the nearest neighbours (Å) after each atom.
Space group R-3m (No. 166, hexagonal axes)
Symmetry-distinct sites (fractional):
Fe 0.0000 0.0000 0.0000 x3  6 Co 2.44
Co 0.0000 0.0000 0.2564 x6  3 Fe 2.44, 3 Br 2.66
Br 0.0000 0.0000 0.5000 x3  6 Co 2.66, 6 Br 2.95

Summary:
Total DFT energy (no corrections), hartree per atom: -0.20420
Formation energy without anion corrections, meV per atom: 530

=====

DFT (PBE) results for crystalline FeCoBr6 at its relaxed geometry.

Cell lengths 6.9882, 12.2380, 6.0738 Å; angles 90.00, 90.41, 90.00 degrees
With the nearest neighbours (Å) after each atom.
Space group C2/m (No. 12)
Symmetry-distinct sites (fractional):
Fe 0.0000 0.0000 0.0000 x2  6 Br 2.54
Co 0.0000 0.0000 0.5000 x2  6 Br 2.42
Br 0.1401 0.1387 0.2674 x8  1 Co 2.42, 1 Fe 2.54
Br 0.2196 0.5000 0.2640 x4  1 Co 2.42, 1 Fe 2.54

Summary:
Total DFT energy (no corrections), hartree per atom: -0.13078
Formation energy without anion corrections, meV per atom: -358

=====

DFT (PBE) results for crystalline FeCo2Br at its relaxed geometry.

Cell lengths 2.9432, 4.3307, 8.4378 Å; angles 90.00, 90.00, 90.00 degrees
With the nearest neighbours (Å) after each atom.
Space group Immm (No. 71)
Symmetry-distinct sites (fractional):
Fe 0.0000 0.0000 0.0000 x2  4 Co 2.60, 4 Br 2.62
Co 0.0000 0.5000 0.2454 x4  2 Br 2.54, 2 Fe 2.60, 4 Co 2.62
Br 0.0000 0.0000 0.5000 x2  4 Co 2.54, 4 Fe 2.62

Summary:
Total DFT energy (no corrections), hartree per atom: -0.19783
Formation energy without anion corrections, meV per atom: 704

=====

DFT (PBE) results for crystalline FeCo2Br at its relaxed geometry.

Cell lengths 3.1571, 3.0627, 6.5633 Å; angles 90.00, 90.03, 90.00 degrees
With the nearest neighbours (Å) after each atom.
Space group Pm (No. 6)
Symmetry-distinct sites (fractional):
Fe 0.0000 0.0000 0.0000 x1  5 Co 2.35-2.54, 2 Br 2.59
Co 0.0011 0.0000 0.3577 x1  1 Fe 2.35, 4 Co 2.45, 2 Br 2.62
Co 0.5010 0.5000 0.1938 x1  4 Co 2.45, 4 Fe 2.54
Br 0.0112 0.5000 0.6824 x1  2 Fe 2.59, 2 Co 2.62

Summary:
Total DFT energy (no corrections), hartree per atom: -0.20988
Formation energy without anion corrections, meV per atom: 376

=====

DFT (PBE) results for crystalline FeCoBr3 at its relaxed geometry.

Cell lengths 4.9539, 4.9539, 4.9539 Å; angles 90.00, 90.00, 90.00 degrees
With the nearest neighbours (Å) after each atom.
Space group Pm-3m (No. 221)
Symmetry-distinct sites (fractional):
Fe 0.0000 0.0000 0.0000 x1  12 Br 3.50
Co 0.5000 0.5000 0.5000 x1  6 Br 2.48
Br 0.0000 0.5000 0.5000 x3  2 Co 2.48

Summary:
Total DFT energy (no corrections), hartree per atom: -0.13297
Excess energy over the best structure of this formula in the dataset, meV/atom: 0
Formation energy without anion corrections, meV per atom: 499

=====

DFT (PBE) results for crystalline Fe2CoBr at its relaxed geometry.

Cell lengths 3.6890, 3.6890, 4.1035 Å; angles 90.00, 90.00, 90.00 degrees
With the nearest neighbours (Å) after each atom.
Space group P4/mmm (No. 123)
Symmetry-distinct sites (fractional):
Fe 0.0000 0.5000 0.0000 x2  4 Fe 2.61, 4 Co 2.76, 4 Br 2.76
Co 0.0000 0.0000 0.5000 x1  4 Br 2.61, 8 Fe 2.76
Br 0.5000 0.5000 0.5000 x1  4 Co 2.61, 8 Fe 2.76

Summary:
Total DFT energy (no corrections), hartree per atom: -0.20940
Excess energy over the best structure of this formula in the dataset, meV/atom: 388
Formation energy without anion corrections, meV per atom: 728

=====

DFT (PBE) results for crystalline FeCo2Br at its relaxed geometry.

Cell lengths 3.0343, 3.1361, 6.5294 Å; angles 90.00, 90.00, 90.00 degrees
With the nearest neighbours (Å) after each atom.
Space group Pmmm (No. 47)
Symmetry-distinct sites (fractional):
Fe 0.0000 0.0000 0.0000 x1  8 Co 2.49
Co 0.5000 0.5000 0.1842 x2  1 Co 2.40, 4 Fe 2.49, 2 Br 2.56
Br 0.0000 0.5000 0.5000 x1  4 Co 2.56

Summary:
Total DFT energy (no corrections), hartree per atom: -0.21014
Formation energy without anion corrections, meV per atom: 369

=====

DFT (PBE) results for crystalline Fe2CoBr at its relaxed geometry.

Cell lengths 5.4041, 6.7909, 3.0507 Å; angles 90.00, 90.00, 90.00 degrees
With the nearest neighbours (Å) after each atom.
Space group Cmmm (No. 65)
Symmetry-distinct sites (fractional):
Fe 0.2500 0.2500 0.0000 x4  4 Co 2.65, 4 Br 2.65, 2 Fe 2.70
Co 0.0000 0.0000 0.5000 x2  8 Fe 2.65, 2 Br 2.70
Br 0.0000 0.5000 0.5000 x2  8 Fe 2.65, 2 Co 2.70

Summary:
Total DFT energy (no corrections), hartree per atom: -0.21082
Excess energy over the best structure of this formula in the dataset, meV/atom: 349
Formation energy without anion corrections, meV per atom: 689

=====

Repeat the eighth record exactly.
DFT (PBE) results for crystalline FeCo2Br at its relaxed geometry.

Cell lengths 3.1571, 3.0627, 6.5633 Å; angles 90.00, 90.03, 90.00 degrees
With the nearest neighbours (Å) after each atom.
Space group Pm (No. 6)
Symmetry-distinct sites (fractional):
Fe 0.0000 0.0000 0.0000 x1  5 Co 2.35-2.54, 2 Br 2.59
Co 0.0011 0.0000 0.3577 x1  1 Fe 2.35, 4 Co 2.45, 2 Br 2.62
Co 0.5010 0.5000 0.1938 x1  4 Co 2.45, 4 Fe 2.54
Br 0.0112 0.5000 0.6824 x1  2 Fe 2.59, 2 Co 2.62

Summary:
Total DFT energy (no corrections), hartree per atom: -0.20988
Formation energy without anion corrections, meV per atom: 376

=====

What is the formula in the twelfth record?
Fe2CoBr

=====

What is the total DFT energy (no corrections) in the twelfth record?
-0.21082 hartree per atom

=====

Copy entry 12 word for word.
DFT (PBE) results for crystalline Fe2CoBr at its relaxed geometry.

Cell lengths 5.4041, 6.7909, 3.0507 Å; angles 90.00, 90.00, 90.00 degrees
With the nearest neighbours (Å) after each atom.
Space group Cmmm (No. 65)
Symmetry-distinct sites (fractional):
Fe 0.2500 0.2500 0.0000 x4  4 Co 2.65, 4 Br 2.65, 2 Fe 2.70
Co 0.0000 0.0000 0.5000 x2  8 Fe 2.65, 2 Br 2.70
Br 0.0000 0.5000 0.5000 x2  8 Fe 2.65, 2 Co 2.70

Summary:
Total DFT energy (no corrections), hartree per atom: -0.21082
Excess energy over the best structure of this formula in the dataset, meV/atom: 349
Formation energy without anion corrections, meV per atom: 689